Density functional theory data (PBE+U) for CdMoWO6 after structural relaxation.

Structure (POSCAR):
```
CdMoWO6
1.0
4.8930 0.0000 0.0000
0.0000 4.8930 0.0000
0.0000 0.0000 9.6220
Cd Mo W O
2 2 2 12
Cartesian
0.0000 0.0000 0.0000
2.4465 2.4465 4.8110
0.0000 0.0000 6.4547
2.4465 2.4465 1.6437
0.0000 0.0000 3.2195
2.4465 2.4465 8.0305
0.8701 0.8701 4.7474
1.0203 1.0203 1.8518
1.0824 1.0824 7.8726
1.3641 3.5289 3.0616
1.4262 3.4668 6.6628
1.5764 3.3166 9.5584
3.3166 1.5764 9.5584
3.4668 1.4262 6.6628
3.5289 1.3641 3.0616
3.8106 3.8106 7.8726
3.8727 3.8727 1.8518
4.0229 4.0229 4.7474
```

Summary:
DFT total energy = -6.674 eV/atom